Here is a relaxed structure of LiV2P3O12 from Alexandria via LeMat-Bulk. Energies are from PBE with a Hubbard U.

Cell: 8.522 8.522 8.522 Å, 60.53 60.53 60.53°
Last column: magnetic moment on the atom in μB.
Sites, in units of the cell vectors:
Li 0.500 0.500 0.500  0.00
Li 0.000 0.000 0.000  0.00
V 0.859 0.859 0.859  1.03
V 0.641 0.641 0.641  1.03
V 0.359 0.359 0.359  1.03
V 0.141 0.141 0.141  1.03
P 0.960 0.250 0.540  0.01
P 0.540 0.960 0.250  0.01
P 0.250 0.540 0.960  0.01
P 0.750 0.460 0.040  0.01
P 0.460 0.040 0.750  0.01
P 0.040 0.750 0.460  0.01
O 0.057 0.916 0.267  -0.02
O 0.877 0.693 0.497  -0.01
O 0.497 0.877 0.693  -0.01
O 0.767 0.416 0.557  -0.02
O 0.733 0.943 0.084  -0.02
O 0.084 0.733 0.943  -0.02
O 0.416 0.557 0.767  -0.02
O 0.377 0.997 0.193  -0.01
O 0.443 0.233 0.584  -0.02
O 0.807 0.623 0.003  -0.01
O 0.003 0.807 0.623  -0.01
O 0.693 0.497 0.877  -0.01
O 0.307 0.503 0.123  -0.01
O 0.943 0.084 0.733  -0.02
O 0.193 0.377 0.997  -0.01
O 0.557 0.767 0.416  -0.02
O 0.997 0.193 0.377  -0.01
O 0.584 0.443 0.233  -0.02
O 0.916 0.267 0.057  -0.02
O 0.267 0.057 0.916  -0.02
O 0.233 0.584 0.443  -0.02
O 0.503 0.123 0.307  -0.01
O 0.123 0.307 0.503  -0.01
O 0.623 0.003 0.807  -0.01

Results
total DFT energy (no corrections): -263.75 eV for the cell shown
density: 2.95 Mg/m³
spin magnetization: 4.0 Bohr magnetons per cell
space-group type: R-3c (167)